Compound: SrCeBeN3
Source: the Alexandria database
Functional: PBE
Structure: optimized geometry

a = 7.146 Å, b = 3.433 Å, c = 7.431 Å
α = 90.00°, β = 101.01°, γ = 90.00°
Atoms (fractional coordinates):
Sr1 0.210 0.250 0.168
Sr2 0.790 0.750 0.832
Ce1 0.194 0.250 0.650
Ce2 0.806 0.750 0.350
Be1 0.409 0.750 0.924
Be2 0.591 0.250 0.076
N1 0.148 0.750 0.436
N2 0.166 0.750 0.867
N3 0.488 0.250 0.851
N4 0.512 0.750 0.149
N5 0.834 0.250 0.133
N6 0.852 0.250 0.564

Values from the calculation:
The calculation puts the magnetic moment at 0.00 μB/f.u. Its formation energy without anion corrections is -887 meV/atom.